No. 1
Density functional theory data (PBE) for Ta4Ir5 after structural relaxation.

Cell lengths 8.5504, 8.5504, 3.9556 Å; angles 90.00, 90.00, 90.00 degrees
Closest atoms and distances in Å follow each position.
Space group I4/mmm (No. 139)
Asymmetric unit:
Ta 0.0000 0.3148 0.0000 (multiplicity 8)  7 Ir 2.69-2.87, 4 Ta 2.99
Ir 0.0000 0.0000 0.0000 (multiplicity 2)  4 Ta 2.69, 8 Ir 2.81
Ir 0.1649 0.1649 0.5000 (multiplicity 8)  6 Ta 2.75-2.87, 6 Ir 2.81-2.85

Properties
V = 16.1 A^3/atom
Energy above the lowest structure with this stoichiometry = 0 meV per atom
M_tot = 0.0 μB per cell
Crystal system = tetragonal

No. 2
Density functional theory data (PBE) for P2SO2 after structural relaxation.

Cell lengths 4.1764, 4.1764, 3.6444 Å; angles 90.00, 90.00, 90.00 degrees
Closest atoms and distances in Å follow each position.
Space group P4/mmm (No. 123)
Asymmetric unit:
P 0.0000 0.5000 0.0000 (multiplicity 2)  2 O 2.09
S 0.0000 0.0000 0.5000 (multiplicity 1)  8 P 2.77, 4 O 2.95
O 0.5000 0.5000 0.0000 (multiplicity 1)  2 O 1.82
O 0.5000 0.5000 0.5000 (multiplicity 1)  2 O 1.82

Properties
Formation energy from raw total energies = 0.88 eV per atom
V = 12.7 A^3/atom
M_tot = 0.0 μB per cell
Crystal system = tetragonal

No. 3
Density functional theory data (PBE) for PmSm7Sc4 after structural relaxation.

Cell lengths 6.1297, 7.0827, 8.6891 Å; angles 90.01, 103.65, 90.04 degrees
Closest atoms and distances in Å follow each position.
Space group P-1 (No. 2)
Asymmetric unit:
Pm 0.0000 0.0000 0.0000 (multiplicity 1)  10 Sm 3.52-3.59, 2 Sc 3.53
Sm 0.0000 0.5000 0.0000 (multiplicity 1)  4 Sc 3.46-3.51, 6 Sm 3.49-3.54, 2 Pm 3.54
Sm 0.2251 0.0002 0.6632 (multiplicity 2)  6 Sm 3.43-3.62, 5 Sc 3.44-3.59, 1 Pm 3.52
Sm 0.2869 0.7434 0.3409 (multiplicity 2)  6 Sc 3.38-3.65, 5 Sm 3.43-3.62, 1 Pm 3.57
Sm 0.4983 0.2573 0.0076 (multiplicity 2)  7 Sm 3.44-3.65, 3 Sc 3.46-3.56, 2 Pm 3.54-3.59
Sc 0.2137 0.4989 0.6592 (multiplicity 2)  4 Sc 3.33-3.58, 8 Sm 3.38-3.56
Sc 0.2725 0.2592 0.3372 (multiplicity 2)  3 Sc 3.36-3.58, 8 Sm 3.40-3.65, 1 Pm 3.53

Properties
V = 30.5 A^3/atom
Energy above the lowest structure with this stoichiometry = 0 meV per atom
M_tot = 0.0 μB per cell
Crystal system = triclinic

No. 4
Density functional theory data (PBE) for PmTmIr2 after structural relaxation.

Cell lengths 3.3604, 3.3604, 7.2625 Å; angles 90.00, 90.00, 90.00 degrees
Closest atoms and distances in Å follow each position.
Space group P4/mmm (No. 123)
Asymmetric unit:
Pm 0.0000 0.0000 0.0000 (multiplicity 1)  8 Ir 3.05, 4 Pm 3.36
Tm 0.0000 0.0000 0.5000 (multiplicity 1)  8 Ir 2.93
Ir 0.5000 0.5000 0.2644 (multiplicity 2)  4 Tm 2.93, 4 Pm 3.05

Properties
V = 20.5 A^3/atom
Energy above the lowest structure with this stoichiometry = 0 meV per atom
M_tot = 0.0 μB per cell
Crystal system = tetragonal

No. 5
Density functional theory data (PBE) for AcPrCdHg after structural relaxation.

Cell lengths 3.9645, 3.9645, 7.9523 Å; angles 90.00, 90.00, 90.00 degrees
Closest atoms and distances in Å follow each position.
Space group P4mm (No. 99)
Asymmetric unit:
Ac 0.0000 0.0000 0.0000 (multiplicity 1)  4 Hg 3.53, 4 Cd 3.54, 1 Pr 3.94
Pr 0.0000 0.0000 0.4958 (multiplicity 1)  4 Hg 3.33, 4 Cd 3.36
Cd 0.5000 0.5000 0.7289 (multiplicity 1)  4 Pr 3.36, 4 Ac 3.54, 1 Hg 3.66
Hg 0.5000 0.5000 0.2690 (multiplicity 1)  4 Pr 3.33, 4 Ac 3.53, 1 Cd 3.66

Properties
V = 31.2 A^3/atom
Energy above the lowest structure with this stoichiometry = 0 meV per atom
M_tot = 0.7 μB per cell
Crystal system = tetragonal

No. 6
Density functional theory data (PBE) for CaAsH3 after structural relaxation.

Cell lengths 4.0220, 4.0220, 4.0220 Å; angles 90.00, 90.00, 90.00 degrees
Closest atoms and distances in Å follow each position.
Space group Pm-3m (No. 221)
Asymmetric unit:
Ca 0.0000 0.0000 0.0000 (multiplicity 1)  6 H 2.01
As 0.5000 0.5000 0.5000 (multiplicity 1)  12 H 2.84
H 0.0000 0.0000 0.5000 (multiplicity 3)  2 Ca 2.01

Properties
V = 13.0 A^3/atom
Energy above the lowest structure with this stoichiometry = 294 meV per atom
M_tot = 0.5 μB per cell
Crystal system = cubic

No. 7
Density functional theory data (PBE) for Na3Sm3TeO8 after structural relaxation.

Cell lengths 7.0130, 7.0130, 16.8394 Å; angles 90.00, 90.00, 120.00 degrees
Closest atoms and distances in Å follow each position.
Space group R-3m (No. 166, hexagonal axes)
Asymmetric unit:
Na 0.0000 0.5000 0.0000 (multiplicity 9)  6 O 2.57-2.59
Sm 0.0000 0.5000 0.5000 (multiplicity 9)  6 O 2.35-2.38
Te 0.0000 0.0000 0.5000 (multiplicity 3)  6 O 2.22
O 0.0000 0.0000 0.2371 (multiplicity 6)  3 Sm 2.35, 3 Na 2.59
O 0.0205 0.5103 0.2349 (multiplicity 18)  1 Te 2.22, 2 Sm 2.38

Properties
Formation energy from raw total energies = -2.34 eV per atom
V = 15.9 A^3/atom
M_tot = 0.0 μB per cell
Crystal system = trigonal

No. 8
Density functional theory data (PBE) for Ta2Nb5Pd2 after structural relaxation.

Cell lengths 2.8141, 7.2296, 7.9882 Å; angles 99.56, 91.53, 99.72 degrees
Closest atoms and distances in Å follow each position.
Space group P-1 (No. 2)
Asymmetric unit:
Ta 0.1764 0.0080 0.3336 (multiplicity 2)  4 Nb 2.78-2.93, 1 Pd 2.80, 3 Ta 2.81-2.88
Nb 0.0458 0.6597 0.7916 (multiplicity 2)  5 Nb 2.81-2.91, 4 Pd 2.84-3.14, 1 Ta 2.90
Nb 0.3728 0.6636 0.4497 (multiplicity 2)  2 Ta 2.78-2.93, 1 Pd 2.80, 6 Nb 2.81-3.11
Nb 0.5000 0.0000 0.0000 (multiplicity 1)  2 Pd 2.80, 4 Nb 2.81, 2 Ta 2.83
Pd 0.3070 0.3219 0.8772 (multiplicity 2)  1 Ta 2.80, 5 Nb 2.80-3.11, 3 Pd 2.81-2.99

Properties
V = 17.5 A^3/atom
M_tot = 0.0 μB per cell
Final energy = -9.5286 eV/atom
Crystal system = triclinic

No. 9
Density functional theory data (PBE) for NdInPdAu after structural relaxation.

Cell lengths 8.3378, 4.8022, 5.2469 Å; angles 90.00, 121.92, 90.00 degrees
Closest atoms and distances in Å follow each position.
Space group Cm (No. 8)
Asymmetric unit:
Nd 0.0000 0.0000 0.0000 (multiplicity 2)  4 Pd 2.97-3.15, 4 Au 3.07-3.10
In 0.0122 0.5000 0.5365 (multiplicity 2)  3 Pd 2.84, 3 Au 2.95-2.96
Pd 0.2229 0.0000 0.6677 (multiplicity 2)  3 In 2.84, 4 Nd 2.97-3.15
Au 0.2703 0.5000 0.3099 (multiplicity 2)  3 In 2.95-2.96, 4 Nd 3.07-3.10, 3 Pd 3.20-3.21

Properties
V = 22.3 A^3/atom
M_tot = 0.0 μB per cell
Final energy = -4.6918 eV/atom
Crystal system = monoclinic

No. 10
Density functional theory data (PBE) for LaDyMgAg after structural relaxation.

Cell lengths 3.8085, 3.8085, 7.5410 Å; angles 90.00, 90.00, 90.00 degrees
Closest atoms and distances in Å follow each position.
Space group P4mm (No. 99)
Asymmetric unit:
La 0.0000 0.0000 0.0000 (multiplicity 1)  4 Ag 3.38, 4 Mg 3.40, 1 Dy 3.63
Dy 0.0000 0.0000 0.4812 (multiplicity 1)  4 Ag 3.12, 4 Mg 3.26
Mg 0.5000 0.5000 0.7254 (multiplicity 1)  4 Dy 3.26, 4 La 3.40, 1 Ag 3.43
Ag 0.5000 0.5000 0.2710 (multiplicity 1)  4 Dy 3.12, 4 La 3.38, 1 Mg 3.43

Properties
V = 27.3 A^3/atom
Energy above the lowest structure with this stoichiometry = 0 meV per atom
M_tot = 0.0 μB per cell
Crystal system = tetragonal

No. 11
Density functional theory data (PBE) for ScBeIn2 after structural relaxation.

Cell lengths 8.6190, 3.3790, 5.8526 Å; angles 90.00, 103.40, 90.00 degrees
Closest atoms and distances in Å follow each position.
Space group C2/m (No. 12)
Asymmetric unit:
Sc 0.0000 0.0000 0.0000 (multiplicity 2)  6 In 2.92-3.04
Be 0.0000 0.5000 0.5000 (multiplicity 2)  6 In 2.69-2.84
In 0.2334 0.0000 0.7090 (multiplicity 4)  3 Be 2.69-2.84, 1 Sc 2.92

Properties
V = 20.7 A^3/atom
M_tot = 0.0 μB per cell
Final energy = -3.7708 eV/atom
Crystal system = monoclinic

No. 12
Density functional theory data (PBE) for K3Np2PdSe6 after structural relaxation.

Cell lengths 7.1627, 12.4060, 8.0301 Å; angles 90.00, 107.16, 90.00 degrees
Closest atoms and distances in Å follow each position.
Space group C2/m (No. 12)
Asymmetric unit:
K 0.0000 0.0000 0.0000 (multiplicity 2)  6 Se 3.31
K 0.0000 0.3373 0.0000 (multiplicity 4)  6 Se 3.29-3.32
Np 0.0000 0.1670 0.5000 (multiplicity 4)  6 Se 2.84
Pd 0.0000 0.5000 0.5000 (multiplicity 2)  6 Se 2.84-2.87
Se 0.2318 0.0000 0.6998 (multiplicity 4)  2 Np 2.84, 1 Pd 2.84
Se 0.2355 0.3318 0.7023 (multiplicity 8)  2 Np 2.84, 1 Pd 2.87

Properties
Formation energy from raw total energies = -1.03 eV per atom
V = 28.4 A^3/atom
M_tot = 9.8 μB per cell
Crystal system = monoclinic